w | The following is a GGA-PBE calculation of a relaxed CsNi3Sb crystal, from Alexandria via LeMat-Bulk.

Output
Total moment ... 1.93 μB per formula unit

a b c (Å): 4.9478 4.9478 4.9478
angles (deg): 90.00 90.00 90.00
Last column: nearest neighbours and their distance in Å.
Element x y z (fractional)
1 Cs 0.0000 0.0000 0.0000  12 Ni 3.50
2 Ni 0.0000 0.5000 0.5000  2 Sb 2.47
3 Ni 0.5000 0.0000 0.5000  2 Sb 2.47
4 Ni 0.5000 0.5000 0.0000  2 Sb 2.47
5 Sb 0.5000 0.5000 0.5000  6 Ni 2.47



x | The following is a GGA-PBE calculation of a relaxed CsNi3Sb crystal, from Alexandria via LeMat-Bulk.

Output
Total moment ... 0.00 μB per formula unit

a b c (Å): 4.8303 4.8303 4.8303
angles (deg): 90.00 90.00 90.00
Last column: nearest neighbours and their distance in Å.
Element x y z (fractional)
1 Cs 0.0000 0.0000 0.0000  6 Ni 2.42
2 Ni 0.0000 0.0000 0.5000  2 Cs 2.42
3 Ni 0.0000 0.5000 0.0000  2 Cs 2.42
4 Ni 0.5000 0.0000 0.0000  2 Cs 2.42
5 Sb 0.5000 0.5000 0.5000  12 Ni 3.42



w is the most stable structure; the next one sits 1.214 eV/atom above it.



w | The following is a GGA-PBE calculation of a relaxed CsScNi2 crystal, from Alexandria via LeMat-Bulk.

Output
Total moment ... 0.00 μB per formula unit

a b c (Å): 6.9291 6.9291 6.9291
angles (deg): 90.00 90.00 90.00
Last column: nearest neighbours and their distance in Å.
Element x y z (fractional)
1 Cs 0.0000 0.0000 0.0000  8 Ni 3.00
2 Cs 0.0000 0.5000 0.5000  8 Ni 3.00
3 Cs 0.5000 0.0000 0.5000  8 Ni 3.00
4 Cs 0.5000 0.5000 0.0000  8 Ni 3.00
5 Sc 0.0000 0.0000 0.5000  8 Ni 3.00
6 Sc 0.0000 0.5000 0.0000  8 Ni 3.00
7 Sc 0.5000 0.0000 0.0000  8 Ni 3.00
8 Sc 0.5000 0.5000 0.5000  8 Ni 3.00
9 Ni 0.2500 0.2500 0.2500  4 Sc 3.00, 4 Cs 3.00
10 Ni 0.2500 0.2500 0.7500  4 Sc 3.00, 4 Cs 3.00
11 Ni 0.2500 0.7500 0.2500  4 Sc 3.00, 4 Cs 3.00
12 Ni 0.2500 0.7500 0.7500  4 Sc 3.00, 4 Cs 3.00
13 Ni 0.7500 0.2500 0.2500  4 Sc 3.00, 4 Cs 3.00
14 Ni 0.7500 0.2500 0.7500  4 Sc 3.00, 4 Cs 3.00
15 Ni 0.7500 0.7500 0.2500  4 Sc 3.00, 4 Cs 3.00
16 Ni 0.7500 0.7500 0.7500  4 Cs 3.00, 4 Sc 3.00



x | The following is a GGA-PBE calculation of a relaxed CsScNi2 crystal, from Alexandria via LeMat-Bulk.

Output
Total moment ... 0.00 μB per formula unit

a b c (Å): 7.5732 7.5732 7.2984
angles (deg): 90.00 90.00 90.00
Last column: nearest neighbours and their distance in Å.
Element x y z (fractional)
1 Cs 0.0000 0.0000 0.0000  8 Ni 3.22-3.59
2 Cs 0.0000 0.5000 0.2500  8 Ni 3.22-3.59
3 Cs 0.5000 0.0000 0.7500  8 Ni 3.22-3.59
4 Cs 0.5000 0.5000 0.5000  8 Ni 3.22-3.59
5 Sc 0.0000 0.0000 0.5000  4 Ni 2.50
6 Sc 0.0000 0.5000 0.7500  4 Ni 2.50
7 Sc 0.5000 0.0000 0.2500  4 Ni 2.50
8 Sc 0.5000 0.5000 0.0000  4 Ni 2.50
9 Ni 0.1776 0.2500 0.6250  2 Sc 2.50
10 Ni 0.2500 0.6776 0.8750  2 Sc 2.50
11 Ni 0.2500 0.8224 0.3750  2 Sc 2.50
12 Ni 0.3224 0.2500 0.1250  2 Sc 2.50
13 Ni 0.6776 0.7500 0.1250  2 Sc 2.50
14 Ni 0.7500 0.1776 0.3750  2 Sc 2.50
15 Ni 0.7500 0.3224 0.8750  2 Sc 2.50
16 Ni 0.8224 0.7500 0.6250  2 Sc 2.50



x is the most stable structure; the next one sits 0.098 eV/atom above it.



w | The following is a GGA-PBE calculation of a relaxed CsScNi crystal, from Alexandria via LeMat-Bulk.

Output
Total moment ... 0.00 μB per formula unit

a b c (Å): 3.6597 3.6622 7.0334
angles (deg): 90.20 91.41 90.00
Last column: nearest neighbours and their distance in Å.
Element x y z (fractional)
1 Cs 0.0000 0.0000 0.0000  2 Ni 3.51-3.52, 4 Cs 3.66
2 Sc 0.4954 0.5142 0.4999  4 Ni 2.59
3 Ni 0.9950 0.0150 0.5010  4 Sc 2.59



x | The following is a GGA-PBE calculation of a relaxed CsScNi crystal, from Alexandria via LeMat-Bulk.

Output
Total moment ... 0.00 μB per formula unit

a b c (Å): 3.5761 4.1929 13.6269
angles (deg): 89.84 87.12 90.00
Last column: nearest neighbours and their distance in Å.
Element x y z (fractional)
1 Cs 0.0622 0.2529 0.1749  2 Cs 3.58, 1 Ni 3.65
2 Cs 0.9378 0.7471 0.8251  2 Cs 3.58, 1 Ni 3.65
3 Sc 0.4838 0.2492 0.5849  6 Ni 2.63-2.78
4 Sc 0.5162 0.7508 0.4151  6 Ni 2.63-2.78
5 Ni 0.0108 0.2506 0.4431  2 Ni 2.61, 6 Sc 2.63-2.78
6 Ni 0.9892 0.7494 0.5569  2 Ni 2.61, 6 Sc 2.63-2.78



y | The following is a GGA-PBE calculation of a relaxed CsScNi crystal, from Alexandria via LeMat-Bulk.

Output
Total moment ... 0.00 μB per formula unit

a b c (Å): 4.4785 4.4785 23.5539
angles (deg): 90.00 90.00 90.00
Last column: nearest neighbours and their distance in Å.
Element x y z (fractional)
1 Cs 0.0000 0.0000 0.1506  4 Ni 3.85, 4 Sc 4.19
2 Cs 0.0000 0.0000 0.8494  4 Ni 3.85, 4 Sc 4.19
3 Cs 0.5000 0.5000 0.3494  4 Ni 3.85, 4 Sc 4.19
4 Cs 0.5000 0.5000 0.6506  4 Ni 3.85, 4 Sc 4.19
5 Sc 0.0000 0.5000 0.0000  4 Ni 2.62
6 Sc 0.0000 0.5000 0.5000  4 Ni 2.62
7 Sc 0.5000 0.0000 0.0000  4 Ni 2.62
8 Sc 0.5000 0.0000 0.5000  4 Ni 2.62
9 Ni 0.0000 0.0000 0.4423  4 Sc 2.62, 1 Ni 2.72
10 Ni 0.0000 0.0000 0.5577  4 Sc 2.62, 1 Ni 2.72
11 Ni 0.5000 0.5000 0.0577  4 Sc 2.62, 1 Ni 2.72
12 Ni 0.5000 0.5000 0.9423  4 Sc 2.62, 1 Ni 2.72



x is the most stable structure; the next one sits 0.124 eV/atom above it.



w | The following is a GGA-PBE calculation of a relaxed CsNi3Sn crystal, from Alexandria via LeMat-Bulk.

Output
Total moment ... 0.00 μB per formula unit

a b c (Å): 4.8547 4.8547 4.8547
angles (deg): 90.00 90.00 90.00
Last column: nearest neighbours and their distance in Å.
Element x y z (fractional)
1 Cs 0.0000 0.0000 0.0000  6 Ni 2.43
2 Ni 0.0000 0.0000 0.5000  2 Cs 2.43
3 Ni 0.0000 0.5000 0.0000  2 Cs 2.43
4 Ni 0.5000 0.0000 0.0000  2 Cs 2.43
5 Sn 0.5000 0.5000 0.5000  12 Ni 3.43



x | The following is a GGA-PBE calculation of a relaxed CsNi3Sn crystal, from Alexandria via LeMat-Bulk.

Output
Total moment ... 1.41 μB per formula unit

a b c (Å): 4.9763 4.9763 4.9763
angles (deg): 90.00 90.00 90.00
Last column: nearest neighbours and their distance in Å.
Element x y z (fractional)
1 Cs 0.0000 0.0000 0.0000  12 Ni 3.52
2 Ni 0.0000 0.5000 0.5000  2 Sn 2.49
3 Ni 0.5000 0.0000 0.5000  2 Sn 2.49
4 Ni 0.5000 0.5000 0.0000  2 Sn 2.49
5 Sn 0.5000 0.5000 0.5000  6 Ni 2.49



x is the most stable structure; the next one sits 1.012 eV/atom above it.